No. 1
Crystalline CsTl2InPd at its relaxed geometry, computed with PBE-GGA.

Unit cell a=5.5667 b=5.5667 c=5.3932 alpha=90.00 beta=90.00 gamma=90.00
Element x y z (fractional)
Cs 0.5000 0.5000 0.5000
Tl 0.0000 0.5000 0.0000
Tl 0.5000 0.0000 0.0000
Pd 0.0000 0.0000 0.0000
In 0.0000 0.0000 0.5000

=====

No. 2
Crystalline LiMg2CrN4 at its relaxed geometry, computed with PBE-GGA.

Unit cell a=5.1093 b=5.6517 c=6.8266 alpha=90.00 beta=90.00 gamma=90.00
Element x y z (fractional)
Li 0.9805 0.1628 0.5000
Li 0.4805 0.8372 0.0000
Mg 0.4884 0.3172 0.2536
Mg 0.4884 0.3172 0.7464
Mg 0.9884 0.6828 0.7536
Mg 0.9884 0.6828 0.2464
Cr 0.5026 0.8225 0.5000
Cr 0.0026 0.1775 0.0000
N 0.3380 0.1785 0.0000
N 0.8380 0.8215 0.5000
N 0.4028 0.1192 0.5000
N 0.9028 0.8808 0.0000
N 0.3996 0.6772 0.7135
N 0.8996 0.3228 0.2135
N 0.8996 0.3228 0.7865
N 0.3996 0.6772 0.2865

=====

No. 3
Crystalline Pr5SnSe4 at its relaxed geometry, computed with PBE-GGA.

Unit cell a=6.1221 b=7.5110 c=7.5110 alpha=80.44 beta=65.95 gamma=65.95
Element x y z (fractional)
Pr 0.9010 0.4055 0.7944
Pr 0.3066 0.7944 0.5945
Pr 0.6954 0.2056 0.4055
Pr 0.1010 0.5945 0.2056
Pr 0.5011 0.0000 0.0000
Sn 0.0011 0.0000 0.0000
Se 0.3977 0.4027 0.8039
Se 0.8004 0.8039 0.5973
Se 0.2016 0.1961 0.4027
Se 0.6043 0.5973 0.1961

=====

No. 4
Crystalline KRbIrF6 at its relaxed geometry, computed with PBE-GGA.

Unit cell a=5.3793 b=6.3367 c=6.3367 alpha=120.00 beta=90.00 gamma=90.00
Element x y z (fractional)
K 0.5000 0.6667 0.3333
Rb 0.0000 0.3333 0.6667
Ir 0.5000 0.0000 0.0000
F 0.7073 0.7424 0.7429
F 0.7073 0.2571 0.9995
F 0.7073 0.0005 0.2576
F 0.2927 0.2571 0.2576
F 0.2927 0.7424 0.9995
F 0.2927 0.0005 0.7429

=====

No. 5
Crystalline AcCuRh4 at its relaxed geometry, computed with PBE-GGA.

Unit cell a=5.3646 b=5.3646 c=5.3646 alpha=60.00 beta=60.00 gamma=60.00
Element x y z (fractional)
Ac 0.2500 0.2500 0.2500
Rh 0.6259 0.6259 0.1224
Rh 0.6259 0.1224 0.6259
Rh 0.6259 0.6259 0.6259
Rh 0.1224 0.6259 0.6259
Cu 0.0000 0.0000 0.0000

=====

No. 6
Crystalline ErTmAlAu at its relaxed geometry, computed with PBE-GGA.

## Properties
Energy above the most stable polymorph in this dataset ... 0.000 eV/atom

Unit cell a=3.5202 b=3.5202 c=7.3616 alpha=90.00 beta=90.00 gamma=90.00
Element x y z (fractional)
Er 0.0000 0.0000 0.3634
Tm 0.0000 0.0000 0.8489
Al 0.5000 0.5000 0.1050
Au 0.5000 0.5000 0.6108

=====

No. 7
Crystalline YSc2Ag2 at its relaxed geometry, computed with PBE-GGA.

## Properties
Energy above the most stable polymorph in this dataset ... 0.047 eV/atom

Unit cell a=8.1437 b=8.1437 c=3.4686 alpha=90.00 beta=90.00 gamma=90.00
Element x y z (fractional)
Y 0.0000 0.0000 0.0000
Y 0.5000 0.5000 0.0000
Sc 0.1635 0.6635 0.5000
Sc 0.6635 0.8365 0.5000
Sc 0.8365 0.3365 0.5000
Sc 0.3365 0.1635 0.5000
Ag 0.3713 0.8713 0.0000
Ag 0.8713 0.6287 0.0000
Ag 0.6287 0.1287 0.0000
Ag 0.1287 0.3713 0.0000

=====

No. 8
Crystalline NdTm4Al5 at its relaxed geometry, computed with PBE-GGA.

Unit cell a=3.5823 b=3.5823 c=17.9619 alpha=90.00 beta=90.00 gamma=90.00
Element x y z (fractional)
Nd 0.0000 0.0000 0.0000
Tm 0.0000 0.0000 0.2079
Tm 0.0000 0.0000 0.4028
Tm 0.0000 0.0000 0.5972
Tm 0.0000 0.0000 0.7921
Al 0.5000 0.5000 0.1116
Al 0.5000 0.5000 0.3052
Al 0.5000 0.5000 0.5000
Al 0.5000 0.5000 0.6948
Al 0.5000 0.5000 0.8884

=====

For reference, D(E_F) by record: 3.21; 3.30; 4.80; 11.58; 9.68; 1.48; 5.07; 4.46 states/eV/f.u..
For reference, electronic total energy by record: -2.80; -6.48; -5.83; -4.64; -6.36; -4.65; -5.13; -4.52 eV per atom.